# PmNd4Al4

An optimized crystal structure of PmNd4Al4 (PBE-GGA, Alexandria via LeMat-Bulk).

The value obtained for the formation energy from the elements is -0.144 eV/atom. The density of states at the Fermi level comes out at 17.4 states/eV per cell.

The space group is P4_2/n (No. 86, origin choice 2) and the conventional cell measures 8.923, 8.923 and 6.101 Å, with angles of 90.00, 90.00 and 90.00 degrees. Symmetry generates all atoms from Pm at (0.250, 0.250, 0.250), Nd at (0.079, 0.823, 0.629) and Al at (0.061, 0.159, 0.848).